A plane-wave DFT calculation with PBE with a Hubbard U was carried out for a relaxed structure of MoI2O.

a b c (Å): 7.476 7.476 6.654
angles (deg): 55.82 55.82 90.00
Site moments in Bohr magnetons follow the coordinates.
Atoms (fractional coordinates):
Mo (0.000, 0.000, 0.000)  3.45
Mo (0.750, 0.250, 0.500)  3.45
I (0.875, 0.870, 0.750)  -0.20
I (0.620, 0.125, 0.250)  -0.21
I (0.375, 0.380, 0.750)  -0.22
I (0.130, 0.625, 0.250)  -0.20
O (0.250, 0.750, 0.500)  -1.10
O (0.500, 0.500, 0.000)  -1.11

Summary:
total DFT energy (no corrections) = -3.240 eV per atom
magnetic moment = 2.0 μB per formula unit
distance to the lowest polymorph of the same formula = 0 meV/atom
crystal system = tetragonal